3
Lattice="4.427 0.000 0.000 2.214 3.834 0.000 2.214 1.278 3.615" Properties=species:S:1:pos:R:3 comment="AlMoBr | the Alexandria database | PBE | relaxed" n_ef_per_ev_atom=1.03 formation_energy_uncorrected_ev_per_atom=1.268 e_tot_ev_per_cell=-12.44 relative_energy_mev_per_atom=995 spacegroup="No. 216" pbc="T T T"
Mo 0.000 0.000 0.000
Al 4.427 2.556 1.807
Br 6.641 3.834 2.711

12
Lattice="-0.906 -6.230 -3.678 -0.827 0.110 7.244 -6.113 3.476 -1.974" Properties=species:S:1:pos:R:3 comment="CeNd3Y2As6 | the Alexandria database | PBE | relaxed" ef_ev_per_atom=-1.516 n_ef_per_ev_atom=0.47 e_tot_ev_per_cell=-79.26 spacegroup="No. 12" pbc="T T T"
Ce 0.000 0.000 0.000
Nd -3.897 0.792 4.437
Nd -3.949 -3.436 -2.846
Nd -3.923 -1.322 0.796
Y -0.853 -2.004 3.602
Y -0.879 -4.117 -0.037
As -5.951 -3.029 -0.634
As -2.768 -3.734 2.188
As -1.895 0.384 2.225
As -5.925 -0.915 3.008
As -5.078 1.090 -0.596
As -1.921 -1.730 -1.417

12
Lattice="5.204 -0.447 -1.398 -1.763 4.917 -1.398 0.326 0.424 8.167" Properties=species:S:1:pos:R:3 comment="Sc2Ga3Rh | the Alexandria database | PBE | relaxed" ef_ev_per_atom=-0.729 n_ef_per_ev_atom=0.43 e_tot_ev_per_cell=-66.94 spacegroup="No. 69" pbc="T T T"
Sc 0.142 3.788 2.685
Sc 2.559 3.325 -2.080
Sc 3.626 1.106 2.685
Sc 0.882 1.145 -0.717
Ga 0.328 4.017 -0.263
Ga -0.032 3.549 5.633
Ga 3.439 0.877 5.633
Ga 3.800 1.345 -0.263
Ga 0.691 0.898 2.285
Ga 3.076 3.996 3.085
Rh 2.392 3.107 0.821
Rh 1.376 1.787 4.549

5
Lattice="4.327 0.000 0.000 0.000 4.327 0.000 0.000 0.000 3.511" Properties=species:S:1:pos:R:3 comment="GaSiOF2 | the Alexandria database | PBE | relaxed" n_ef_per_ev_atom=0.20 formation_energy_uncorrected_ev_per_atom=-1.592 e_tot_ev_per_cell=-25.11 relative_energy_mev_per_atom=0 spacegroup="No. 123" pbc="T T T"
Si 0.000 0.000 0.000
O 0.000 0.000 1.755
Ga 2.163 2.163 1.755
F 0.000 2.163 0.000
F 2.163 0.000 0.000

4
Lattice="2.270 -3.222 1.837 -1.298 -4.123 -0.481 2.302 -2.728 -2.483" Properties=species:S:1:pos:R:3 comment="HgH2Cl | the Alexandria database | PBE | relaxed" n_ef_per_ev_atom=0.53 e_tot_ev_per_cell=-4.89 relative_energy_mev_per_atom=622 spacegroup="No. 225" pbc="T T T"
H 0.819 -2.518 -0.282
H 2.456 -7.555 -0.846
Hg 1.637 -5.037 -0.564
Cl 0.000 0.000 0.000

10
Lattice="-2.368 -2.255 3.673 3.202 -3.944 -0.357 1.092 3.894 3.095" Properties=species:S:1:pos:R:3 comment="LiCa2TcH6 | the Alexandria database | PBE | relaxed" n_ef_per_ev_atom=0.00 e_tot_ev_per_cell=-41.21 spacegroup="No. 164" pbc="T T T"
Li -1.184 -1.127 1.836
Ca 1.355 0.862 2.627
Ca 0.571 -3.167 3.784
Tc 0.000 0.000 0.000
H -0.972 -1.135 3.824
H -0.415 0.852 5.403
H 1.219 -1.161 5.221
H 2.341 -3.157 1.008
H 0.707 -1.144 1.190
H 2.898 -1.170 2.587

9
Lattice="4.114 0.000 0.000 0.000 8.175 0.548 -2.057 -2.713 7.284" Properties=species:S:1:pos:R:3 comment="Cs2ErMg2S4 | the Alexandria database | PBE | relaxed" n_ef_per_ev_atom=0.51 formation_energy_uncorrected_ev_per_atom=-1.369 e_tot_ev_per_cell=-38.29 spacegroup="No. 12" pbc="T T T"
Cs 0.000 3.684 2.141
Cs 2.057 1.777 5.691
Er 0.000 0.000 0.000
Mg 2.057 7.045 3.035
Mg 0.000 -1.584 4.798
S 0.000 0.168 2.944
S 2.057 5.294 4.889
S 2.057 6.291 0.748
S 0.000 -0.830 7.084

18
Lattice="6.966 0.000 0.000 0.000 9.100 0.000 0.000 -4.550 7.880" Properties=species:S:1:pos:R:3 comment="SmDy5Hg3 | the Alexandria database | PBE | relaxed" ef_ev_per_atom=-0.301 n_ef_per_ev_atom=0.64 e_tot_ev_per_cell=-62.68 spacegroup="No. 193" pbc="T T T"
Sm 0.000 0.000 0.000
Sm 3.483 0.000 0.000
Dy 0.000 4.550 2.627
Dy 3.483 0.000 5.254
Dy 0.000 0.000 5.254
Dy 3.483 4.550 2.627
Dy 5.225 3.037 5.260
Dy 5.225 7.587 2.621
Dy 5.225 3.026 0.000
Dy 1.742 1.513 2.621
Dy 1.742 -3.037 5.260
Dy 1.742 6.074 0.000
Hg 5.225 1.530 2.650
Hg 5.225 6.080 5.231
Hg 5.225 6.040 0.000
Hg 1.742 3.020 5.231
Hg 1.742 -1.530 2.650
Hg 1.742 3.060 0.000

18
Lattice="-1.368 4.830 -4.183 1.562 -5.931 -2.255 -11.826 -3.185 0.189" Properties=species:S:1:pos:R:3 comment="NaCrCdCl6 | the Alexandria database | PBE | relaxed" n_ef_per_ev_atom=0.00 formation_energy_uncorrected_ev_per_atom=-1.251 e_tot_ev_per_cell=-68.38 spacegroup="No. 163" pbc="T T T"
Na 0.000 0.000 0.000
Na -5.913 -1.593 0.094
Cr -3.348 0.447 -3.493
Cr -8.284 -4.733 -2.756
Cd -2.371 -3.140 -2.851
Cd -9.261 -1.146 -3.399
Cl -1.546 -0.959 -4.119
Cl -2.404 2.189 -4.793
Cl -6.495 -6.097 -3.500
Cl -9.228 -6.475 -1.456
Cl -4.272 -1.373 -2.290
Cl -4.643 -0.178 -5.377
Cl -9.548 -5.476 -4.618
Cl -5.137 1.811 -2.750
Cl -6.989 -4.109 -0.873
Cl -2.085 1.190 -1.631
Cl -7.360 -2.913 -3.960
Cl -10.087 -3.328 -2.130

4
Lattice="-2.463 0.704 1.038 0.604 -2.689 -0.212 3.984 0.157 9.342" Properties=species:S:1:pos:R:3 comment="Re2OsBr | the Alexandria database | PBE | relaxed" n_ef_per_ev_atom=1.11 formation_energy_uncorrected_ev_per_atom=0.961 e_tot_ev_per_cell=-33.96 relative_energy_mev_per_atom=255 spacegroup="No. 35" pbc="T T T"
Re 0.007 0.000 0.016
Re -0.053 -0.958 2.469
Os 2.193 -0.869 7.735
Br 1.970 0.078 4.620

5
Lattice="4.611 0.000 0.000 0.000 5.423 0.000 0.000 0.000 4.611" Properties=species:S:1:pos:R:3 comment="SrHg2BMo | the Alexandria database | PBE | relaxed" ef_ev_per_atom=1.055 n_ef_per_ev_atom=0.61 e_tot_ev_per_cell=-14.52 spacegroup="No. 123" pbc="T T T"
Sr 0.000 2.712 0.000
Mo 2.306 2.712 2.306
B 0.000 0.000 0.000
Hg 0.000 0.000 2.306
Hg 2.306 0.000 0.000

14
Lattice="-0.867 6.258 -4.533 -3.065 -3.458 -4.189 -7.682 -1.012 6.457" Properties=species:S:1:pos:R:3 comment="PaTlAgTe4 | the Alexandria database | PBE | relaxed" n_ef_per_ev_atom=0.29 formation_energy_uncorrected_ev_per_atom=-0.496 e_tot_ev_per_cell=-61.51 spacegroup="No. 11" pbc="T T T"
Pa -6.313 1.497 -3.582
Pa -5.301 0.291 1.317
Tl -10.208 1.120 -0.420
Tl -1.406 0.668 -1.844
Ag -4.868 -1.264 -2.359
Ag -6.746 3.052 0.095
Te -6.993 -2.218 2.226
Te -3.140 5.677 -2.468
Te -4.620 4.006 -4.491
Te -8.474 -3.889 0.203
Te -3.728 0.146 -4.358
Te -7.886 1.642 2.093
Te -7.285 -0.426 -1.282
Te -4.329 2.215 -0.982

no.,magnetization (μB/f.u.)
1,1.84
2,0.47
3,0.00
4,0.00
5,1.22
6,0.00
7,0.04
8,0.00
9,3.00
10,0.00
11,4.04
12,0.29